# 1
Here is LaRe2Pt after structural relaxation from Alexandria. Energies are from PBE.

Unit cell a=5.8301 b=9.0410 c=2.7515 alpha=90.00 beta=90.00 gamma=90.00
Last column: nearest neighbours and their distance in Å.
Space group Cmmm (No. 65)
Asymmetric unit:
1 La 0.0000 0.0000 0.0000  2 La 2.75, 2 Pt 2.92, 8 Re 3.02
2 Re 0.2500 0.2500 0.5000  4 Re 2.75-2.92, 4 La 3.02, 4 Pt 3.02
3 Pt 0.0000 0.5000 0.0000  2 Pt 2.75, 2 La 2.92, 8 Re 3.02

Results
Calculated density in g cm⁻³: 16.18
ΔE to the lowest computed polymorph in meV/atom: 598
E_form in eV/atom: 0.5667
Total magnetization in μB/atom: 0.000



# 2
Here is Li6CdSb after structural relaxation from Alexandria. Energies are from PBE.

Unit cell a=4.7069 b=6.1964 c=10.1713 alpha=90.00 beta=90.00 gamma=90.00
Last column: nearest neighbours and their distance in Å.
Space group Amm2 (No. 38)
Asymmetric unit:
1 Li 0.0000 0.0000 0.0000  8 Li 2.86-3.10, 2 Sb 2.91, 2 Cd 3.10
2 Li 0.0000 0.2357 0.7586  7 Li 2.86-3.10, 2 Sb 2.87, 2 Cd 2.94-3.02
3 Li 0.5000 0.0000 0.3252  2 Cd 2.94, 8 Li 2.95-2.99, 2 Sb 3.10
4 Li 0.5000 0.2444 0.5762  2 Cd 2.91, 8 Li 2.94-3.17, 2 Sb 2.95-3.01
5 Cd 0.0000 0.0000 0.4991  12 Li 2.91-3.10
6 Sb 0.5000 0.0000 0.8316  12 Li 2.87-3.10

Results
Calculated density in g cm⁻³: 3.09
Energy in eV per cell: -38.2
Total magnetization in μB/atom: 0.000



# 3
Here is Mn2ZnFeH after structural relaxation from Alexandria. Energies are from PBE.

Unit cell a=3.7463 b=3.7463 c=3.6004 alpha=90.00 beta=90.00 gamma=90.00
Last column: nearest neighbours and their distance in Å.
Space group P4/mmm (No. 123)
Asymmetric unit:
1 Mn 0.0000 0.5000 0.0000  2 H 1.87
2 Zn 0.0000 0.0000 0.5000  8 Mn 2.60, 4 Fe 2.65
3 Fe 0.5000 0.5000 0.5000  2 H 1.80
4 H 0.5000 0.5000 0.0000  2 Fe 1.80, 4 Mn 1.87

Results
Calculated density in g cm⁻³: 7.63
ΔE to the lowest computed polymorph in meV/atom: 0
Total magnetization in μB/atom: 1.251



# 4
Here is Pm8Te4AsIr3 after structural relaxation from Alexandria. Energies are from PBE.

Unit cell a=8.5224 b=8.5224 c=22.1879 alpha=90.00 beta=90.00 gamma=120.00
Last column: nearest neighbours and their distance in Å.
Space group R-3m (No. 166, hexagonal axes)
Asymmetric unit:
1 Pm 0.0000 0.0000 0.2370  3 Ir 2.91, 3 Te 3.26
2 Pm 0.0094 0.5047 0.7629  2 Ir 2.89, 1 As 2.97, 1 Te 3.20
3 Te 0.0000 0.0000 0.0000  6 Pm 3.20
4 Te 0.0000 0.5000 0.0000  6 Pm 3.26-3.28
5 As 0.0000 0.0000 0.5000  6 Pm 2.97
6 Ir 0.0000 0.5000 0.5000  6 Pm 2.89-2.91

Results
Calculated density in g cm⁻³: 8.29
Energy in eV per cell: -299.8
Total magnetization in μB/atom: 0.000



Look up the total magnetization of the first one.
0.000 μB/atom